Entry from the Alexandria database: a relaxed structure of KAcPr2 (PBE-GGA).

Properties
- Calculated total energy: -14.0 eV/cell

Cell: 3.8059 3.8059 14.0808 Å, 82.23 82.23 60.00°
Closest atoms and distances in Å follow each position.
Element x y z (fractional)
Pr  0.0935  0.0935  0.7195  3 Ac 3.76, 6 Pr 3.81, 1 K 3.90
Pr  0.9065  0.9065  0.2805  3 Ac 3.76, 6 Pr 3.81, 1 K 3.90
Ac  0.5000  0.5000  0.5000  6 Pr 3.76, 6 Ac 3.81
K  0.0000  0.0000  0.0000  6 K 3.81, 2 Pr 3.90

***

Entry from the Alexandria database: a relaxed structure of NbZnMo2 (PBE-GGA).

Properties
- Calculated total energy: -60.2 eV/cell

Cell: 7.1865 7.1865 5.7379 Å, 51.23 51.23 90.00°
Closest atoms and distances in Å follow each position.
Element x y z (fractional)
Zn  0.5000  0.5000  0.0000  4 Mo 2.56, 2 Nb 2.66
Zn  0.2500  0.7500  0.5000  4 Mo 2.56, 2 Nb 2.66
Mo  0.6119  0.1250  0.2500  2 Zn 2.56, 2 Mo 2.67, 2 Nb 2.69
Mo  0.1381  0.6250  0.2500  2 Zn 2.56, 2 Mo 2.67, 2 Nb 2.69
Mo  0.3750  0.3881  0.7500  2 Zn 2.56, 2 Mo 2.67, 2 Nb 2.69
Mo  0.8750  0.8619  0.7500  2 Zn 2.56, 2 Mo 2.67, 2 Nb 2.69
Nb  0.0000  0.0000  0.0000  2 Zn 2.66, 4 Mo 2.69
Nb  0.7500  0.2500  0.5000  2 Zn 2.66, 4 Mo 2.69

***

Number 1 is which compound?
KAcPr2